*w*
Compound: KAs2CBr
Source: Alexandria
Functional: GGA-PBE
Structure: relaxed

Properties
V   165.4 Å³ per cell
SG   P4/mmm, No. 123
DOS(E_F)   2.46 states/eV/cell

Geometry as CIF:
```
data_KAs2CBr
_space_group_name_H-M_alt 'P 1'
_space_group_IT_number 1
_space_group_name_Hall 'P 1'
_cell_length_a 4.266
_cell_length_b 4.266
_cell_length_c 9.088
_cell_angle_alpha 90.00
_cell_angle_beta 90.00
_cell_angle_gamma 90.00
loop_
_atom_site_label
_atom_site_type_symbol
_atom_site_fract_x
_atom_site_fract_y
_atom_site_fract_z
_atom_site_occupancy
K1 K 0.000 0.000 0.000 1
As1 As 0.000 0.500 0.500 1
As2 As 0.500 0.000 0.500 1
C1 C 0.500 0.500 0.500 1
Br1 Br 0.500 0.500 0.000 1
```

*x*
Compound: KAs2CBr
Source: Alexandria
Functional: GGA-PBE
Structure: relaxed

Properties
V   340.7 Å³ per cell
SG   P4/mmm, No. 123
DOS(E_F)   14.38 states/eV/cell

Geometry as CIF:
```
data_KAs2CBr
_space_group_name_H-M_alt 'P 1'
_space_group_IT_number 1
_space_group_name_Hall 'P 1'
_cell_length_a 7.517
_cell_length_b 7.517
_cell_length_c 6.029
_cell_angle_alpha 90.00
_cell_angle_beta 90.00
_cell_angle_gamma 90.00
loop_
_atom_site_label
_atom_site_type_symbol
_atom_site_fract_x
_atom_site_fract_y
_atom_site_fract_z
_atom_site_occupancy
K1 K 0.000 0.000 0.000 1
As1 As 0.000 0.500 0.000 1
As2 As 0.500 0.000 0.000 1
C1 C 0.500 0.500 0.500 1
Br1 Br 0.000 0.000 0.500 1
```

Most stable: *w*

*w*
Compound: KAsCBr2
Source: Alexandria
Functional: GGA-PBE
Structure: relaxed

Properties
V   127.5 Å³ per cell
SG   P4/mmm, No. 123
DOS(E_F)   3.45 states/eV/cell

Geometry as CIF:
```
data_KAsCBr2
_space_group_name_H-M_alt 'P 1'
_space_group_IT_number 1
_space_group_name_Hall 'P 1'
_cell_length_a 5.641
_cell_length_b 5.641
_cell_length_c 4.006
_cell_angle_alpha 90.00
_cell_angle_beta 90.00
_cell_angle_gamma 90.00
loop_
_atom_site_label
_atom_site_type_symbol
_atom_site_fract_x
_atom_site_fract_y
_atom_site_fract_z
_atom_site_occupancy
K1 K 0.000 0.000 0.000 1
As1 As 0.500 0.500 0.000 1
C1 C 0.500 0.500 0.500 1
Br1 Br 0.000 0.500 0.500 1
Br2 Br 0.500 0.000 0.500 1
```

*x*
Compound: KAsCBr2
Source: Alexandria
Functional: GGA-PBE
Structure: relaxed

Properties
V   274.3 Å³ per cell
SG   P4/mmm, No. 123
DOS(E_F)   9.78 states/eV/cell

Geometry as CIF:
```
data_KAsCBr2
_space_group_name_H-M_alt 'P 1'
_space_group_IT_number 1
_space_group_name_Hall 'P 1'
_cell_length_a 6.227
_cell_length_b 6.227
_cell_length_c 7.074
_cell_angle_alpha 90.00
_cell_angle_beta 90.00
_cell_angle_gamma 90.00
loop_
_atom_site_label
_atom_site_type_symbol
_atom_site_fract_x
_atom_site_fract_y
_atom_site_fract_z
_atom_site_occupancy
K1 K 0.000 0.000 0.000 1
As1 As 0.000 0.000 0.500 1
C1 C 0.500 0.500 0.500 1
Br1 Br 0.000 0.500 0.000 1
Br2 Br 0.500 0.000 0.000 1
```

Most stable: *w*